1.
Material: CuSbP2
Method: DFT, PBE-GGA
State: optimized geometry

Cell: 3.7956 5.1518 9.3613 Å, 90.00 90.00 90.00°
Last column: nearest neighbours and their distance in Å.
Space group Immm (No. 71)
Asymmetric unit:
Cu: 0.0000 0.0000 0.0000 x2  4 P 2.25
Sb: 0.0000 0.0000 0.5000 x2  4 P 2.85
P: 0.0000 0.5000 0.3709 x4  2 Cu 2.25, 1 P 2.42



2.
Material: CuSbP2
Method: DFT, PBE-GGA
State: optimized geometry

Cell: 3.4134 3.4134 6.4718 Å, 90.00 90.00 90.00°
Last column: nearest neighbours and their distance in Å.
Space group P4mm (No. 99)
Asymmetric unit:
Cu: 0.0000 0.0000 0.0000 x1  1 P 2.27
Sb: 0.5000 0.5000 0.8110 x1  1 P 2.59, 4 Cu 2.71
P: 0.0000 0.0000 0.3508 x1  1 Cu 2.27, 4 P 2.44
P: 0.5000 0.5000 0.4110 x1  4 P 2.44, 1 Sb 2.59



3.
Material: CuSbP2
Method: DFT, PBE-GGA
State: optimized geometry

Cell: 5.2470 5.2470 5.2394 Å, 90.00 90.00 90.00°
Last column: nearest neighbours and their distance in Å.
Space group I4/mmm (No. 139)
Asymmetric unit:
Cu: 0.0000 0.0000 0.0000 x2  2 Sb 2.62, 4 P 2.62
Sb: 0.0000 0.0000 0.5000 x2  2 Cu 2.62, 4 P 2.62
P: 0.0000 0.5000 0.0000 x4  2 P 2.62, 2 Sb 2.62, 2 Cu 2.62



4.
Material: Cu3SbP4
Method: DFT, PBE-GGA
State: optimized geometry

Cell: 7.4264 6.5004 6.4507 Å, 90.00 90.00 90.00°
Last column: nearest neighbours and their distance in Å.
Space group Pmn2_1 (No. 31)
Asymmetric unit:
Cu: 0.0000 0.1642 0.0000 x2  4 P 2.24-2.27
Cu: 0.2481 0.3371 0.4981 x4  4 P 2.27-2.28
Sb: 0.0000 0.8381 0.5004 x2  4 P 2.54-2.57
P: 0.0000 0.2002 0.6506 x2  3 Cu 2.27
P: 0.0000 0.8349 0.1023 x2  3 Cu 2.24-2.28
P: 0.2266 0.3469 0.1479 x4  3 Cu 2.27-2.28



What E_form (uncorrected) values result from the calculations? In sequence: 334 161 297 151 meV/atom.